1.
# InTeSe4

A geometry-optimized InTeSe4 structure (PBE, the Alexandria database).

Cell lengths 8.3250, 8.3250, 8.3250 Å; angles 90.00, 90.00, 90.00 degrees
Space group F-43m (No. 216)
Symmetry-distinct sites (fractional):
1 In 0.0000 0.0000 0.0000 x4
2 Te 0.2500 0.2500 0.2500 x4
3 Se 0.1238 0.1238 0.6238 x16

Energy above the most stable polymorph in this dataset, meV/atom: 572
Theoretical density, g/cm3: 6.427
DOS at the Fermi energy, states/eV/cell: 18.9
Formation energy from raw total energies, meV per atom: 452
Energy, eV/f.u.: -17.1

2.
# RbZnGeSe

A geometry-optimized RbZnGeSe structure (PBE, the Alexandria database).

Cell lengths 8.5181, 4.0540, 7.4362 Å; angles 90.00, 108.90, 90.00 degrees
Space group Cm (No. 8)
Symmetry-distinct sites (fractional):
1 Rb 0.0000 0.0000 0.0000 x2
2 Zn 0.2395 0.5000 0.4371 x2
3 Ge 0.4112 0.0000 0.3786 x2
4 Se 0.1142 0.5000 0.6986 x2

Energy above the most stable polymorph in this dataset, meV/atom: 24
Theoretical density, g/cm3: 4.135
DOS at the Fermi energy, states/eV/cell: 5.9
Formation energy from raw total energies, meV per atom: -293
Energy, eV/f.u.: -11.5

3.
# Sr2ReSeO

A geometry-optimized Sr2ReSeO structure (PBE, the Alexandria database).

Cell lengths 5.8699, 5.8699, 3.8270 Å; angles 90.00, 90.00, 90.00 degrees
Space group P4/mmm (No. 123)
Symmetry-distinct sites (fractional):
1 Sr 0.0000 0.5000 0.0000 x2
2 Re 0.0000 0.0000 0.0000 x1
3 Se 0.5000 0.5000 0.5000 x1
4 O 0.0000 0.0000 0.5000 x1

Theoretical density, g/cm3: 5.748
DOS at the Fermi energy, states/eV/cell: 2.9
Formation energy from raw total energies, meV per atom: -701
Energy, eV/f.u.: -27.8

4.
# GdThTlAu

A geometry-optimized GdThTlAu structure (PBE, the Alexandria database).

Cell lengths 7.5675, 7.5675, 7.5675 Å; angles 90.00, 90.00, 90.00 degrees
Space group F-43m (No. 216)
Symmetry-distinct sites (fractional):
1 Gd 0.0000 0.0000 0.0000 x4
2 Th 0.0000 0.0000 0.5000 x4
3 Tl 0.2500 0.2500 0.7500 x4
4 Au 0.2500 0.2500 0.2500 x4

Theoretical density, g/cm3: 12.118
DOS at the Fermi energy, states/eV/cell: 14.1
Energy, eV/f.u.: -28.8
ΔH_f (0 K), meV per atom: -413

5.
# HfSi2RhN

A geometry-optimized HfSi2RhN structure (PBE, the Alexandria database).

Cell lengths 4.9166, 4.9166, 3.6041 Å; angles 90.00, 90.00, 90.00 degrees
Space group P4/mmm (No. 123)
Symmetry-distinct sites (fractional):
1 Hf 0.0000 0.0000 0.0000 x1
2 Si 0.0000 0.5000 0.5000 x2
3 Rh 0.5000 0.5000 0.5000 x1
4 N 0.5000 0.5000 0.0000 x1

Theoretical density, g/cm3: 6.701
DOS at the Fermi energy, states/eV/cell: 4.0
Formation energy from raw total energies, meV per atom: 588
Energy, eV/f.u.: -33.5

6.
# Th4Fe2Hg

A geometry-optimized Th4Fe2Hg structure (PBE, the Alexandria database).

Cell lengths 11.6443, 8.3800, 9.2888 Å; angles 90.00, 128.80, 90.00 degrees
Space group C2 (No. 5)
Symmetry-distinct sites (fractional):
1 Th 0.0622 0.0000 0.2284 x4
2 Th 0.0798 0.4317 0.3845 x4
3 Th 0.1659 0.7501 0.7284 x4
4 Th 0.1956 0.6816 0.1146 x4
5 Fe 0.1367 0.7152 0.3914 x4
6 Fe 0.2443 0.9655 0.1082 x4
7 Hg 0.0000 0.0963 0.5000 x2
8 Hg 0.0000 0.3458 0.0000 x2

Theoretical density, g/cm3: 11.663
DOS at the Fermi energy, states/eV/cell: 30.5
Energy, eV/f.u.: -47.2
ΔH_f (0 K), meV per atom: -48

7.
# KMo2Cl

A geometry-optimized KMo2Cl structure (PBE, the Alexandria database).

Cell lengths 2.9261, 2.9261, 30.8480 Å; angles 90.00, 90.00, 120.00 degrees
Space group R-3m (No. 166, hexagonal axes)
Symmetry-distinct sites (fractional):
1 K 0.0000 0.0000 0.0000 x3
2 Mo 0.0000 0.0000 0.2324 x6
3 Cl 0.0000 0.0000 0.5000 x3

Energy above the most stable polymorph in this dataset, meV/atom: 944
Theoretical density, g/cm3: 5.803
DOS at the Fermi energy, states/eV/cell: 8.3
Formation energy from raw total energies, meV per atom: 1022
Energy, eV/f.u.: -20.5

8.
# SmEr3Tm7

A geometry-optimized SmEr3Tm7 structure (PBE, the Alexandria database).

Cell lengths 6.9602, 6.9602, 8.4971 Å; angles 90.00, 90.00, 120.00 degrees
Space group P3m1 (No. 156)
Symmetry-distinct sites (fractional):
1 Sm 0.0000 0.0000 0.0000 x1
2 Er 0.1671 0.3342 0.6632 x3
3 Tm 0.0024 0.5012 0.0000 x3
4 Tm 0.3312 0.1656 0.3302 x3
5 Tm 0.3333 0.6667 0.3293 x1

Energy above the most stable polymorph in this dataset, meV/atom: 40
Theoretical density, g/cm3: 8.546
DOS at the Fermi energy, states/eV/cell: 17.6
Energy, eV/f.u.: -47.5
ΔH_f (0 K), meV per atom: 201

9.
# Y6Ge3H

A geometry-optimized Y6Ge3H structure (PBE, the Alexandria database).

Cell lengths 11.2271, 13.9156, 6.7115 Å; angles 90.00, 90.00, 90.00 degrees
Space group Cmc2_1 (No. 36)
Symmetry-distinct sites (fractional):
1 Y 0.0000 0.0469 0.0000 x4
2 Y 0.0000 0.2242 0.5330 x4
3 Y 0.1635 0.2690 0.0300 x8
4 Y 0.1641 0.4705 0.5400 x8
5 Ge 0.0000 0.3883 0.2523 x4
6 Ge 0.1711 0.1085 0.3164 x8
7 H 0.0000 0.2015 0.8844 x4

Theoretical density, g/cm3: 4.766
DOS at the Fermi energy, states/eV/cell: 40.0
Energy, eV/f.u.: -61.7

10.
# SrCd3Ge

A geometry-optimized SrCd3Ge structure (PBE, the Alexandria database).

Cell lengths 4.4933, 4.4933, 6.3579 Å; angles 90.00, 90.00, 90.00 degrees
Space group P4mm (No. 99)
Symmetry-distinct sites (fractional):
1 Sr 0.0000 0.0000 0.0000 x1
2 Cd 0.0000 0.5000 0.4659 x2
3 Cd 0.5000 0.5000 0.7651 x1
4 Ge 0.5000 0.5000 0.1907 x1

Energy above the most stable polymorph in this dataset, meV/atom: 0
Theoretical density, g/cm3: 6.436
DOS at the Fermi energy, states/eV/cell: 2.0
Energy, eV/f.u.: -10.4
ΔH_f (0 K), meV per atom: -271

11.
# TePdC3

A geometry-optimized TePdC3 structure (PBE, the Alexandria database).

Cell lengths 4.1132, 4.1132, 4.1132 Å; angles 90.00, 90.00, 90.00 degrees
Space group Pm-3m (No. 221)
Symmetry-distinct sites (fractional):
1 Te 0.0000 0.0000 0.0000 x1
2 Pd 0.5000 0.5000 0.5000 x1
3 C 0.0000 0.5000 0.5000 x3

Energy above the most stable polymorph in this dataset, meV/atom: 0
Theoretical density, g/cm3: 6.444
DOS at the Fermi energy, states/eV/cell: 4.1
Formation energy from raw total energies, meV per atom: 2580
Energy, eV/f.u.: -23.1